The following is a DFT calculation (GGA-PBE) of crystalline NbCd2Ga at its relaxed geometry.

Summary:
Density of states at the Fermi level = 0.5964 states/eV/atom
Formation energy from the elements = 0.420 eV per atom
Space-group type = R-3m, No. 166

Unit cell a=2.982 b=2.982 c=10.892 alpha=82.13 beta=82.13 gamma=60.00
Sites, in units of the cell vectors:
Cd (0.910, 0.910, 0.270)
Cd (0.090, 0.090, 0.730)
Nb (0.000, 0.000, 0.000)
Ga (0.500, 0.500, 0.500)

The following is a DFT calculation (GGA-PBE) of crystalline NbCdGa3 at its relaxed geometry.

Summary:
Density of states at the Fermi level = 0.9087 states/eV/atom
ΔE to the lowest computed polymorph = 0.000 eV/atom
Formation energy from the elements = 0.523 eV per atom
Space-group type = Pm-3m, No. 221

Unit cell a=5.085 b=5.085 c=5.085 alpha=90.00 beta=90.00 gamma=90.00
Sites, in units of the cell vectors:
Cd (0.500, 0.500, 0.500)
Ga (0.000, 0.500, 0.000)
Ga (0.500, 0.000, 0.000)
Ga (0.000, 0.000, 0.500)
Nb (0.000, 0.000, 0.000)

The following is a DFT calculation (GGA-PBE) of crystalline NbCd2Ga2 at its relaxed geometry.

Summary:
Density of states at the Fermi level = 0.5739 states/eV/atom
Formation energy from the elements = 0.202 eV per atom
Space-group type = P4/mbm, No. 127

Unit cell a=7.644 b=7.644 c=3.270 alpha=90.00 beta=90.00 gamma=90.00
Sites, in units of the cell vectors:
Ga (0.343, 0.843, 0.000)
Cd (0.855, 0.355, 0.500)
Cd (0.355, 0.145, 0.500)
Ga (0.657, 0.157, 0.000)
Cd (0.645, 0.855, 0.500)
Cd (0.145, 0.645, 0.500)
Ga (0.843, 0.657, 0.000)
Nb (0.000, 0.000, 0.000)
Ga (0.157, 0.343, 0.000)
Nb (0.500, 0.500, 0.000)

The following is a DFT calculation (GGA-PBE) of crystalline NbCdGaNi2 at its relaxed geometry.

Summary:
Density of states at the Fermi level = 1.2295 states/eV/atom
Formation energy from the elements = 1.167 eV per atom
Space-group type = P4/mmm, No. 123

Unit cell a=4.583 b=5.529 c=4.583 alpha=90.00 beta=90.00 gamma=90.00
Sites, in units of the cell vectors:
Ga (0.500, 0.500, 0.500)
Ni (0.000, 0.000, 0.500)
Ni (0.500, 0.000, 0.000)
Nb (0.000, 0.000, 0.000)
Cd (0.000, 0.500, 0.000)

Question: Number 1 is which compound?
Answer: NbCd2Ga